[1]
This record from Alexandria describes a geometry-optimized La2Pm7Y2 structure. The functional is PBE-GGA.

ΔE to the lowest computed polymorph in kJ per mole of atoms: 2.2
Energy of formation in eV per atom: 0.138

a b c (Å): 8.5702 11.1010 8.4024
angles (deg): 90.00 106.78 90.00
Space group C2/m (No. 12)
Symmetry-distinct sites (fractional):
La1 0.0000 0.2188 0.0000 [4 per cell]
Pm1 0.0000 0.5000 0.5000 [2 per cell]
Pm2 0.0749 0.0000 0.3176 [4 per cell]
Pm3 0.2016 0.2026 0.6653 [8 per cell]
Y1 0.1901 0.5000 0.9651 [4 per cell]

=====

[2]
This record from Alexandria describes a geometry-optimized La7Pm3Y structure. The functional is PBE-GGA.

ΔE to the lowest computed polymorph in kJ per mole of atoms: 0.9
Energy of formation in eV per atom: 0.216

a b c (Å): 11.8546 10.3501 6.6060
angles (deg): 90.00 95.49 90.00
Space group C2/m (No. 12)
Symmetry-distinct sites (fractional):
La1 0.0000 0.0000 0.0000 [2 per cell]
La2 0.2381 0.5000 0.2123 [4 per cell]
La3 0.2493 0.3211 0.7342 [8 per cell]
Pm1 0.0000 0.3302 0.0000 [4 per cell]
Pm2 0.0000 0.5000 0.5000 [2 per cell]
Y1 0.0000 0.0000 0.5000 [2 per cell]

=====

- What is the ΔE to the lowest computed polymorph in the second record?
  0.9 kJ per mole of atoms

=====

What did the second record say?
This record from Alexandria describes a geometry-optimized La7Pm3Y structure. The functional is PBE-GGA.

ΔE to the lowest computed polymorph in kJ per mole of atoms: 0.9
Energy of formation in eV per atom: 0.216

a b c (Å): 11.8546 10.3501 6.6060
angles (deg): 90.00 95.49 90.00
Space group C2/m (No. 12)
Symmetry-distinct sites (fractional):
La1 0.0000 0.0000 0.0000 [2 per cell]
La2 0.2381 0.5000 0.2123 [4 per cell]
La3 0.2493 0.3211 0.7342 [8 per cell]
Pm1 0.0000 0.3302 0.0000 [4 per cell]
Pm2 0.0000 0.5000 0.5000 [2 per cell]
Y1 0.0000 0.0000 0.5000 [2 per cell]

=====

Please write out number 2 again, unchanged.
This record from Alexandria describes a geometry-optimized La7Pm3Y structure. The functional is PBE-GGA.

ΔE to the lowest computed polymorph in kJ per mole of atoms: 0.9
Energy of formation in eV per atom: 0.216

a b c (Å): 11.8546 10.3501 6.6060
angles (deg): 90.00 95.49 90.00
Space group C2/m (No. 12)
Symmetry-distinct sites (fractional):
La1 0.0000 0.0000 0.0000 [2 per cell]
La2 0.2381 0.5000 0.2123 [4 per cell]
La3 0.2493 0.3211 0.7342 [8 per cell]
Pm1 0.0000 0.3302 0.0000 [4 per cell]
Pm2 0.0000 0.5000 0.5000 [2 per cell]
Y1 0.0000 0.0000 0.5000 [2 per cell]

=====

- Which of these has the highest ΔE to the lowest computed polymorph?
  La2Pm7Y2